GdDyH2I4 | GGA-PBE | optimized geometry

Lattice parameters (Å, degrees): 4.014 4.014 16.621 90.00 90.00 120.00
Fractional positions:
Gd1 0.000 0.000 0.000
Dy1 0.000 0.000 0.500
H1 0.333 0.667 0.500
H2 0.667 0.333 0.000
I1 0.333 0.667 0.128
I2 0.333 0.667 0.872
I3 0.667 0.333 0.373
I4 0.667 0.333 0.627

Calculated values
Symmetry: No. 187
DFT total energy: -3.97 eV/atom
M_tot: 0.002 μB/cell